Below is a relaxed Ac2TmCu crystal, with properties calculated at the GGA-PBE level.

```
Ac2TmCu
1.0
3.7690 0.0000 0.0000
1.8845 3.2641 0.0000
1.8845 1.0880 11.7548
Tm Ac Cu
1 2 1
direct
0.5000 0.5000 0.5000
0.0828 0.0828 0.7515
0.9172 0.9172 0.2485
0.0000 0.0000 0.0000
```

- energy of formation from the pure elements (eV per formula unit) = 1.91

Below is a relaxed Ac2TmCu crystal, with properties calculated at the GGA-PBE level.

```
Ac2TmCu
1.0
3.8403 0.0000 0.0000
0.0000 3.8403 0.0000
0.0000 0.0000 8.8384
Cu Tm Ac
1 1 2
direct
0.5000 0.5000 0.0000
0.5000 0.5000 0.5000
0.0000 0.0000 0.2097
0.0000 0.0000 0.7903
```

- energy of formation from the pure elements (eV per formula unit) = 0.05

Below is a relaxed AcTm2Cu6 crystal, with properties calculated at the GGA-PBE level.

```
AcTm2Cu6
1.0
3.7230 0.1025 -0.1533
-0.3260 6.4065 -3.6345
0.3025 -0.0480 7.3664
Cu Ac Tm
6 1 2
direct
0.5001 0.3394 0.3394
0.4999 0.0000 0.6606
0.5000 0.3394 0.0000
0.5000 0.6606 0.0000
0.4999 0.6606 0.6606
0.5001 0.0000 0.3394
0.0000 0.0000 0.0000
0.0000 0.6667 0.3334
0.0000 0.3333 0.6666
```

- energy of formation from the pure elements (eV per formula unit) = -1.84